# 1
Here is crystalline Na3BiF6 at its relaxed geometry from Alexandria. Energies are from GGA-PBEsol.

It has space group Fm-3m (No. 225), with a = 8.823 Å, b = 8.823 Å, c = 8.823 Å, α = 90.00°, β = 90.00° and γ = 90.00°. The distinct sites, in fractional coordinates, are Na at (0.000, 0.000, 0.000), Na at (0.250, 0.250, 0.250), Bi at (0.000, 0.000, 0.500) and F at (0.000, 0.000, 0.248).

The density of states at the Fermi level comes out at 0.00 states/eV per atom. Its raw formation energy is -24.5 eV per formula unit.



# 2
Here is crystalline NaBi2F at its relaxed geometry from Alexandria. Energies are from GGA-PBEsol.

It has space group Fm-3m (No. 225), with a = 7.059 Å, b = 7.059 Å, c = 7.059 Å, α = 90.00°, β = 90.00° and γ = 90.00°. The distinct sites, in fractional coordinates, are Na at (0.000, 0.000, 0.000), Bi at (0.250, 0.250, 0.250) and F at (0.000, 0.000, 0.500).

The density of states at the Fermi level comes out at 0.36 states/eV per atom. Its raw formation energy is -2.0 eV per formula unit.



# 3
Here is crystalline NaBi2PF at its relaxed geometry from Alexandria. Energies are from GGA-PBEsol.

It has space group P4/mmm (No. 123), with a = 5.315 Å, b = 5.315 Å, c = 4.685 Å, α = 90.00°, β = 90.00° and γ = 90.00°. The distinct sites, in fractional coordinates, are Na at (0.000, 0.000, 0.000), Bi at (0.000, 0.500, 0.000), P at (0.000, 0.000, 0.500) and F at (0.500, 0.500, 0.500).

The density of states at the Fermi level comes out at 0.65 states/eV per atom. Its raw formation energy is 3.2 eV per formula unit.



# 4
Here is crystalline NaBiPt2F at its relaxed geometry from Alexandria. Energies are from GGA-PBEsol.

It has space group P4/mmm (No. 123), with a = 4.860 Å, b = 4.860 Å, c = 3.840 Å, α = 90.00°, β = 90.00° and γ = 90.00°. The distinct sites, in fractional coordinates, are Na at (0.000, 0.000, 0.000), Bi at (0.500, 0.500, 0.500), Pt at (0.000, 0.500, 0.000) and F at (0.000, 0.000, 0.500).

The density of states at the Fermi level comes out at 0.67 states/eV per atom. Its raw formation energy is 1.0 eV per formula unit.



# 5
Here is crystalline NbBi2F at its relaxed geometry from Alexandria. Energies are from GGA-PBEsol.

It has space group I-42d (No. 122), with a = 5.819 Å, b = 5.819 Å, c = 13.122 Å, α = 90.00°, β = 90.00° and γ = 90.00°. The distinct sites, in fractional coordinates, are Nb at (0.000, 0.000, 0.000), Bi at (0.217, 0.250, 0.625) and F at (0.000, 0.000, 0.500).

The density of states at the Fermi level comes out at 1.02 states/eV per atom. Its raw formation energy is 0.5 eV per formula unit.



# 6
Here is crystalline NbBiO2F at its relaxed geometry from Alexandria. Energies are from GGA-PBEsol.

It has space group P4/mmm (No. 123), with a = 4.046 Å, b = 4.046 Å, c = 4.330 Å, α = 90.00°, β = 90.00° and γ = 90.00°. The distinct sites, in fractional coordinates, are Nb at (0.000, 0.000, 0.000), Bi at (0.500, 0.500, 0.500), O at (0.000, 0.500, 0.000) and F at (0.000, 0.000, 0.500).

The density of states at the Fermi level comes out at 0.62 states/eV per atom. Its raw formation energy is -7.8 eV per formula unit.



# 7
Here is crystalline NbRe2BiF at its relaxed geometry from Alexandria. Energies are from GGA-PBEsol.

It has space group P4/mmm (No. 123), with a = 4.901 Å, b = 4.901 Å, c = 3.950 Å, α = 90.00°, β = 90.00° and γ = 90.00°. The distinct sites, in fractional coordinates, are Nb at (0.000, 0.000, 0.000), Re at (0.000, 0.500, 0.000), Bi at (0.500, 0.500, 0.500) and F at (0.000, 0.000, 0.500).

The density of states at the Fermi level comes out at 1.10 states/eV per atom. Its raw formation energy is 4.2 eV per formula unit.



# 8
Here is crystalline NiBi2F at its relaxed geometry from Alexandria. Energies are from GGA-PBEsol.

It has space group I-42d (No. 122), with a = 5.139 Å, b = 5.139 Å, c = 13.816 Å, α = 90.00°, β = 90.00° and γ = 90.00°. The distinct sites, in fractional coordinates, are Ni at (0.000, 0.000, 0.000), Bi at (0.248, 0.250, 0.125) and F at (0.000, 0.000, 0.500).

The density of states at the Fermi level comes out at 0.57 states/eV per atom. Its raw formation energy is -1.5 eV per formula unit.